VASP calculation (PBE) on a relaxed structure of Hg2MoRu.

D(E_F) ... 1.32 states/eV/atom
Energy relative to the elements ... 651 meV per atom
Total energy ... -4.527 eV/atom

a = 9.616 Å, b = 2.997 Å, c = 5.005 Å
α = 90.00°, β = 101.00°, γ = 90.00°
Space group C2/m (No. 12)
Inequivalent atoms, fractional coordinates:
1 Hg 0.248 0.000 0.247 (multiplicity 4)
2 Mo 0.000 0.000 0.500 (multiplicity 2)
3 Ru 0.000 0.500 0.000 (multiplicity 2)

=====

VASP calculation (PBE) on a relaxed structure of HgMoRu2.

D(E_F) ... 1.02 states/eV/atom
Energy relative to the elements ... 353 meV per atom
Total energy ... -7.068 eV/atom

a = 2.779 Å, b = 2.779 Å, c = 8.305 Å
α = 90.00°, β = 90.00°, γ = 90.00°
Space group P4mm (No. 99)
Inequivalent atoms, fractional coordinates:
1 Hg 0.000 0.000 0.000 (multiplicity 1)
2 Mo 0.500 0.500 0.278 (multiplicity 1)
3 Ru 0.000 0.000 0.526 (multiplicity 1)
4 Ru 0.500 0.500 0.732 (multiplicity 1)

=====

VASP calculation (PBE) on a relaxed structure of HgMoRu.

D(E_F) ... 1.01 states/eV/atom
Energy relative to the elements ... 390 meV per atom
Total energy ... -6.413 eV/atom

a = 2.926 Å, b = 3.805 Å, c = 8.984 Å
α = 90.00°, β = 90.00°, γ = 90.00°
Space group Imm2 (No. 44)
Inequivalent atoms, fractional coordinates:
1 Hg 0.000 0.000 0.000 (multiplicity 2)
2 Mo 0.000 0.000 0.683 (multiplicity 2)
3 Ru 0.000 0.000 0.319 (multiplicity 2)